(1)
VASP calculation (GGA-PBE) on VS3N after structural relaxation.

a b c (Å): 4.562 4.562 4.562
angles (deg): 90.00 90.00 90.00
Each line ends with the local moment (μB).
Fractional coordinates of all 5 atoms:
V 0.000 0.000 0.000  0.30
S 0.500 0.000 0.000  -0.07
S 0.000 0.500 0.000  -0.07
S 0.000 0.000 0.500  -0.07
N 0.500 0.500 0.500  1.81

## Properties
E above lowest polymorph: 0.044 eV/atom
SG: Pm-3m
Magnetic moment: 0.5468 μB/atom


(2)
VASP calculation (GGA-PBE) on VSN2 after structural relaxation.

a b c (Å): 6.162 6.162 6.162
angles (deg): 27.01 27.01 27.01
Fractional coordinates of all 4 atoms:
S 0.000 0.000 0.000
N 0.104 0.104 0.104
N 0.896 0.896 0.896
V 0.500 0.500 0.500

## Properties
Calculated total energy: -29.8 eV per cell
SG: R-3m
Magnetic moment: 0.0000 μB/atom


(3)
VASP calculation (GGA-PBE) on V4SN2 after structural relaxation.

a b c (Å): 4.206 4.206 6.039
angles (deg): 69.62 69.62 90.00
Fractional coordinates of all 7 atoms:
V 0.767 0.767 0.465
V 0.233 0.233 0.535
V 0.500 0.000 0.000
V 0.000 0.500 0.000
N 0.604 0.604 0.792
N 0.396 0.396 0.208
S 0.000 0.000 0.000

## Properties
Calculated total energy: -55.5 eV per cell
SG: I4/mmm
Magnetic moment: 0.0000 μB/atom


(4)
VASP calculation (GGA-PBE) on V12S3N5 after structural relaxation.

a b c (Å): 10.775 10.775 10.775
angles (deg): 109.47 109.47 109.47
Fractional coordinates of all 80 atoms:
N 0.625 0.875 0.250
N 0.125 0.750 0.375
N 0.875 0.250 0.625
N 0.250 0.375 0.625
N 0.500 0.500 0.000
N 0.500 0.500 0.500
N 0.000 0.000 0.500
N 0.000 0.500 0.000
N 0.500 0.000 0.500
N 0.250 0.875 0.125
N 0.000 0.500 0.500
N 0.375 0.125 0.750
N 0.375 0.250 0.125
N 0.125 0.375 0.250
N 0.875 0.625 0.750
N 0.625 0.750 0.875
N 0.750 0.625 0.375
N 0.500 0.000 0.000
N 0.000 0.000 0.000
N 0.750 0.125 0.875
V 0.186 0.080 0.978
V 0.898 0.606 0.920
V 0.920 0.814 0.522
V 0.186 0.106 0.708
V 0.978 0.398 0.292
V 0.792 0.314 0.894
V 0.022 0.602 0.708
V 0.208 0.522 0.602
V 0.580 0.602 0.394
V 0.292 0.394 0.814
V 0.686 0.208 0.606
V 0.478 0.686 0.080
V 0.708 0.606 0.186
V 0.522 0.314 0.920
V 0.314 0.522 0.420
V 0.394 0.102 0.580
V 0.420 0.398 0.606
V 0.080 0.186 0.478
V 0.106 0.186 0.208
V 0.814 0.920 0.022
V 0.022 0.420 0.814
V 0.292 0.898 0.978
V 0.398 0.978 0.792
V 0.580 0.978 0.686
V 0.894 0.814 0.792
V 0.978 0.580 0.186
V 0.602 0.580 0.894
V 0.602 0.022 0.208
V 0.606 0.898 0.420
V 0.920 0.106 0.898
V 0.898 0.292 0.478
V 0.792 0.478 0.398
V 0.708 0.102 0.022
V 0.314 0.792 0.394
V 0.102 0.708 0.522
V 0.894 0.080 0.602
V 0.106 0.920 0.398
V 0.686 0.478 0.580
V 0.606 0.708 0.686
V 0.420 0.022 0.314
V 0.398 0.420 0.106
V 0.814 0.894 0.292
V 0.208 0.686 0.106
V 0.102 0.394 0.080
V 0.394 0.292 0.314
V 0.478 0.792 0.898
V 0.080 0.894 0.102
V 0.522 0.208 0.102
S 0.750 0.375 0.125
S 0.375 0.625 0.250
S 0.625 0.375 0.750
S 0.625 0.250 0.375
S 0.125 0.250 0.875
S 0.125 0.875 0.750
S 0.875 0.125 0.250
S 0.375 0.750 0.625
S 0.250 0.125 0.375
S 0.250 0.625 0.875
S 0.875 0.750 0.125
S 0.750 0.875 0.625

## Properties
Calculated total energy: -703.7 eV per cell
SG: Ia-3d
Magnetic moment: 0.0000 μB/atom


(5)
VASP calculation (GGA-PBE) on V3SN after structural relaxation.

a b c (Å): 3.901 3.901 3.901
angles (deg): 90.00 90.00 90.00
Fractional coordinates of all 5 atoms:
V 0.000 0.500 0.000
V 0.500 0.000 0.000
V 0.000 0.000 0.500
S 0.500 0.500 0.500
N 0.000 0.000 0.000

## Properties
E above lowest polymorph: 0.000 eV/atom
SG: Pm-3m
Magnetic moment: 0.0000 μB/atom


(6)
VASP calculation (GGA-PBE) on VS2N2 after structural relaxation.

a b c (Å): 4.647 4.647 3.698
angles (deg): 90.00 90.00 90.00
Each line ends with the local moment (μB).
Fractional coordinates of all 5 atoms:
S 0.500 0.000 0.000  -0.41
S 0.000 0.500 0.000  -0.41
N 0.000 0.000 0.500  -0.59
N 0.500 0.500 0.500  1.60
V 0.000 0.000 0.000  0.66

## Properties
E above lowest polymorph: 1.465 eV/atom
SG: P4/mmm
Magnetic moment: 0.2020 μB/atom


(7)
VASP calculation (GGA-PBE) on VWSN2 after structural relaxation.

a b c (Å): 3.881 3.881 4.895
angles (deg): 90.00 90.00 90.00
Each line ends with the local moment (μB).
Fractional coordinates of all 5 atoms:
N 0.000 0.500 0.000  -0.02
N 0.500 0.000 0.000  -0.02
W 0.000 0.000 0.000  0.05
V 0.500 0.500 0.500  0.44
S 0.000 0.000 0.500  -0.02

## Properties
E above lowest polymorph: 0.000 eV/atom
SG: P4/mmm
Magnetic moment: 0.0967 μB/atom


(8)
VASP calculation (GGA-PBE) on VWSN2 after structural relaxation.

a b c (Å): 3.737 3.737 4.698
angles (deg): 90.00 90.00 90.00
Each line ends with the local moment (μB).
Fractional coordinates of all 5 atoms:
N 0.500 0.000 0.000  -0.19
N 0.000 0.500 0.000  -0.19
S 0.000 0.000 0.500  -0.04
W 0.500 0.500 0.500  2.12
V 0.000 0.000 0.000  0.16

## Properties
E above lowest polymorph: 0.314 eV/atom
SG: P4/mmm
Magnetic moment: 0.4441 μB/atom


(9)
VASP calculation (GGA-PBE) on YVSN2 after structural relaxation.

a b c (Å): 3.850 3.850 4.703
angles (deg): 90.00 90.00 90.00
Fractional coordinates of all 5 atoms:
N 0.500 0.000 0.000
N 0.000 0.500 0.000
V 0.000 0.000 0.000
S 0.000 0.000 0.500
Y 0.500 0.500 0.500

## Properties
E above lowest polymorph: 0.000 eV/atom
SG: P4/mmm
Magnetic moment: 0.0000 μB/atom


(10)
VASP calculation (GGA-PBE) on YVSN2 after structural relaxation.

a b c (Å): 4.227 4.227 5.265
angles (deg): 90.00 90.00 90.00
Fractional coordinates of all 5 atoms:
N 0.000 0.500 0.000
N 0.500 0.000 0.000
Y 0.000 0.000 0.000
S 0.000 0.000 0.500
V 0.500 0.500 0.500

## Properties
E above lowest polymorph: 1.908 eV/atom
SG: P4/mmm
Magnetic moment: 0.0001 μB/atom


(11)
VASP calculation (GGA-PBE) on VZnSN2 after structural relaxation.

a b c (Å): 3.713 3.713 4.845
angles (deg): 90.00 90.00 90.00
Fractional coordinates of all 5 atoms:
S 0.000 0.000 0.500
N 0.500 0.000 0.000
N 0.000 0.500 0.000
V 0.500 0.500 0.500
Zn 0.000 0.000 0.000

## Properties
E above lowest polymorph: 1.283 eV/atom
SG: P4/mmm
Magnetic moment: 0.0000 μB/atom


(12)
VASP calculation (GGA-PBE) on VZnSN2 after structural relaxation.

a b c (Å): 3.688 3.688 5.176
angles (deg): 90.00 90.00 90.00
Each line ends with the local moment (μB).
Fractional coordinates of all 5 atoms:
S 0.000 0.000 0.500  0.01
Zn 0.500 0.500 0.500  0.00
N 0.500 0.000 0.000  0.16
N 0.000 0.500 0.000  0.16
V 0.000 0.000 0.000  -0.10

## Properties
E above lowest polymorph: 0.000 eV/atom
SG: P4/mmm
Magnetic moment: 0.0708 μB/atom


> Which value of magnetic moment does entry 4 give?

0.0000 μB/atom